{
  "formula": "YAl",
  "functional": "GGA-PBEsol",
  "state": "relaxed",
  "cell": [[3.4696, 0.0000, 0.0000], [-1.7348, 3.0048, 0.0000], [0.0000, 0.0000, 9.4581]],
  "species": ["Y", "Y", "Al", "Al"],
  "fractional_positions": [[0.3333, 0.6667, 0.1585], [0.6667, 0.3333, 0.8415], [0.3333, 0.6667, 0.5975], [0.6667, 0.3333, 0.4025]],
  "space_group": "P-3m1, No. 164",
  "volume_a3_per_cell": 99,
  "formation_energy_ev_per_atom": -0.040,
  "dos_ef_per_ev_atom": 0.979
}

***

{
  "formula": "Mg5Cu3",
  "functional": "GGA-PBEsol",
  "state": "relaxed",
  "cell": [[3.3136, -4.4836, 0.0000], [3.3136, 4.4836, 0.0000], [0.0000, 0.0000, 4.4159]],
  "species": ["Mg", "Mg", "Mg", "Mg", "Mg", "Cu", "Cu", "Cu"],
  "fractional_positions": [[0.0000, 0.0000, 0.0000], [0.0000, 0.5000, 0.0000], [0.2780, 0.2780, 0.5000], [0.5000, 0.0000, 0.0000], [0.7220, 0.7220, 0.5000], [0.2328, 0.7672, 0.5000], [0.5000, 0.5000, 0.0000], [0.7672, 0.2328, 0.5000]],
  "space_group": "Cmmm, No. 65",
  "polymorph_energy_mev_per_atom": 45,
  "volume_a3_per_cell": 131,
  "formation_energy_ev_per_atom": 0.000,
  "dos_ef_per_ev_atom": 0.325
}

***

{
  "formula": "Ba2NF",
  "functional": "GGA-PBEsol",
  "state": "relaxed",
  "cell": [[-3.0153, 3.0153, 6.0613], [3.0153, -3.0153, 6.0613], [3.0153, 3.0153, -6.0613]],
  "species": ["Ba", "Ba", "Ba", "Ba", "N", "N", "F", "F"],
  "fractional_positions": [[0.1109, 0.6250, 0.9859], [0.3750, 0.3609, 0.4859], [0.6391, 0.1250, 0.0141], [0.8750, 0.8891, 0.5141], [0.0000, 0.0000, 0.0000], [0.7500, 0.2500, 0.5000], [0.2500, 0.7500, 0.5000], [0.5000, 0.5000, 0.0000]],
  "space_group": "I-42d, No. 122",
  "polymorph_energy_mev_per_atom": 103,
  "volume_a3_per_cell": 220,
  "dos_ef_per_ev_atom": 0.015
}

***

{
  "formula": "Ta2MnTc",
  "functional": "GGA-PBEsol",
  "state": "relaxed",
  "cell": [[1.4263, 0.8235, 8.7494], [-1.4263, 0.8235, 8.7494], [0.0000, -1.6469, 8.7494]],
  "species": ["Ta", "Ta", "Mn", "Tc"],
  "fractional_positions": [[0.0000, 0.0000, 0.0000], [0.2387, 0.2387, 0.2387], [0.4916, 0.4916, 0.4916], [0.7547, 0.7547, 0.7547]],
  "space_group": "R3m, No. 160",
  "volume_a3_per_cell": 62,
  "formation_energy_ev_per_atom": 0.263,
  "dos_ef_per_ev_atom": 1.108
}

***

{
  "formula": "AlTe2N",
  "functional": "GGA-PBEsol",
  "state": "relaxed",
  "cell": [[1.5985, 0.9229, 9.0320], [-1.5985, 0.9229, 9.0320], [0.0000, -1.8458, 9.0320]],
  "species": ["Al", "Te", "Te", "N"],
  "fractional_positions": [[0.0000, 0.0000, 0.0000], [0.1061, 0.1061, 0.1061], [0.8939, 0.8939, 0.8939], [0.5000, 0.5000, 0.5000]],
  "space_group": "R-3m, No. 166",
  "volume_a3_per_cell": 80,
  "dos_ef_per_ev_atom": 0.487,
  "dft_energy_ev_per_atom": -4.08
}

***

{
  "formula": "Hg2SbPb2",
  "functional": "GGA-PBEsol",
  "state": "relaxed",
  "cell": [[7.7511, 0.0000, 0.0000], [0.0000, 7.7511, 0.0000], [0.0000, 0.0000, 4.5170]],
  "species": ["Hg", "Hg", "Hg", "Hg", "Sb", "Sb", "Pb", "Pb", "Pb", "Pb"],
  "fractional_positions": [[0.1326, 0.3674, 0.0000], [0.3674, 0.8674, 0.0000], [0.6326, 0.1326, 0.0000], [0.8674, 0.6326, 0.0000], [0.0000, 0.0000, 0.0000], [0.5000, 0.5000, 0.0000], [0.1732, 0.6732, 0.5000], [0.3268, 0.1732, 0.5000], [0.6732, 0.8268, 0.5000], [0.8268, 0.3268, 0.5000]],
  "space_group": "P4/mbm, No. 127",
  "polymorph_energy_mev_per_atom": 0,
  "volume_a3_per_cell": 271,
  "dos_ef_per_ev_atom": 0.472
}

***

{
  "formula": "Sc2AlNi",
  "functional": "GGA-PBEsol",
  "state": "relaxed",
  "cell": [[3.2710, 0.0000, 0.0000], [0.0000, 4.5103, 0.0000], [0.0000, 0.0000, 4.6810]],
  "species": ["Sc", "Sc", "Al", "Ni"],
  "fractional_positions": [[0.0000, 0.0000, 0.0000], [0.0000, 0.5000, 0.4571], [0.5000, 0.0000, 0.5217], [0.5000, 0.5000, 0.8984]],
  "space_group": "Pmm2, No. 25",
  "volume_a3_per_cell": 69,
  "formation_energy_ev_per_atom": -0.428,
  "dos_ef_per_ev_atom": 0.520
}

***

{
  "formula": "Pr9Ga5S21",
  "functional": "GGA-PBEsol",
  "state": "relaxed",
  "cell": [[8.5977, 4.9639, 6.0441], [-8.5977, 4.9639, 6.0441], [0.0000, -9.9278, 6.0441]],
  "species": ["Pr", "Pr", "Pr", "Pr", "Pr", "Pr", "Pr", "Pr", "Pr", "Pr", "Pr", "Pr", "Pr", "Pr", "Pr", "Pr", "Pr", "Pr", "Ga", "Ga", "Ga", "Ga", "Ga", "Ga", "Ga", "Ga", "Ga", "Ga", "S", "S", "S", "S", "S", "S", "S", "S", "S", "S", "S", "S", "S", "S", "S", "S", "S", "S", "S", "S", "S", "S", "S", "S", "S", "S", "S", "S", "S", "S", "S", "S", "S", "S", "S", "S", "S", "S", "S", "S", "S", "S"],
  "fractional_positions": [[0.0139, 0.7995, 0.6406], [0.0240, 0.1766, 0.7994], [0.1202, 0.3470, 0.4944], [0.1300, 0.9880, 0.3604], [0.1766, 0.7994, 0.0240], [0.3214, 0.6995, 0.4715], [0.3470, 0.4944, 0.1202], [0.3604, 0.1300, 0.9880], [0.4545, 0.6798, 0.8286], [0.4715, 0.3214, 0.6995], [0.4944, 0.1202, 0.3470], [0.6406, 0.0139, 0.7995], [0.6798, 0.8286, 0.4545], [0.6995, 0.4715, 0.3214], [0.7994, 0.0240, 0.1766], [0.7995, 0.6406, 0.0139], [0.8286, 0.4545, 0.6798], [0.9880, 0.3604, 0.1300], [0.0980, 0.0980, 0.0980], [0.1280, 0.4717, 0.7948], [0.2933, 0.9663, 0.6352], [0.3989, 0.3989, 0.3989], [0.4717, 0.7948, 0.1280], [0.5956, 0.5956, 0.5956], [0.6352, 0.2933, 0.9663], [0.7948, 0.1280, 0.4717], [0.9016, 0.9016, 0.9016], [0.9663, 0.6352, 0.2933], [0.0011, 0.9065, 0.1360], [0.0322, 0.6033, 0.1170], [0.0334, 0.1853, 0.2818], [0.0596, 0.5464, 0.6317], [0.0896, 0.7565, 0.4183], [0.1170, 0.0322, 0.6033], [0.1360, 0.0011, 0.9065], [0.1853, 0.2818, 0.0334], [0.2119, 0.3134, 0.7269], [0.2337, 0.4779, 0.3328], [0.2531, 0.5899, 0.9209], [0.2560, 0.7880, 0.6967], [0.2818, 0.0334, 0.1853], [0.3134, 0.7269, 0.2119], [0.3328, 0.2337, 0.4779], [0.3558, 0.9398, 0.4545], [0.3884, 0.5251, 0.6173], [0.4090, 0.8787, 0.9660], [0.4183, 0.0896, 0.7565], [0.4545, 0.3558, 0.9398], [0.4779, 0.3328, 0.2337], [0.5251, 0.6173, 0.3884], [0.5464, 0.6317, 0.0596], [0.5487, 0.7955, 0.6475], [0.5899, 0.9209, 0.2531], [0.6033, 0.1170, 0.0322], [0.6173, 0.3884, 0.5251], [0.6317, 0.0596, 0.5464], [0.6475, 0.5487, 0.7955], [0.6967, 0.2560, 0.7880], [0.7234, 0.8613, 0.9673], [0.7269, 0.2119, 0.3134], [0.7565, 0.4183, 0.0896], [0.7880, 0.6967, 0.2560], [0.7955, 0.6475, 0.5487], [0.8613, 0.9673, 0.7234], [0.8787, 0.9660, 0.4090], [0.9065, 0.1360, 0.0011], [0.9209, 0.2531, 0.5899], [0.9398, 0.4545, 0.3558], [0.9660, 0.4090, 0.8787], [0.9673, 0.7234, 0.8613]],
  "space_group": "R3, No. 146",
  "volume_a3_per_cell": 1548,
  "dos_ef_per_ev_atom": 0.000,
  "dft_energy_ev_per_atom": -6.05
}